1.
EuThPbAu: relaxed, PBE.

extended XYZ file:
```
4
Lattice="0.000 3.847 3.847 3.847 0.000 3.847 3.847 3.847 0.000" Properties=species:S:1:pos:R:3 pbc="T T T"
Eu 0.000 0.000 0.000
Th 3.847 3.847 3.847
Pb 5.770 5.770 5.770
Au 1.923 1.923 1.923
```

Properties
DOS at the Fermi energy ... 2.22 states/eV/cell
Symmetry ... F-43m (216)
Energy of formation from the pure elements ... -0.462 eV/atom


2.
Ho6Er12Tm: relaxed, PBE.

extended XYZ file:
```
19
Lattice="5.856 3.381 5.010 -5.856 3.381 5.010 0.000 -6.762 5.010" Properties=species:S:1:pos:R:3 pbc="T T T"
Ho -3.318 -0.803 7.695
Ho -0.963 -3.275 7.335
Ho -2.354 2.472 7.335
Ho 2.354 -2.472 7.695
Ho 0.963 3.275 7.695
Ho 3.318 0.803 7.335
Er -5.224 1.462 6.282
Er -3.879 -3.793 8.748
Er -2.024 0.177 4.641
Er 1.346 -5.256 6.282
Er 0.859 -1.842 4.641
Er 1.166 1.664 4.641
Er -1.166 -1.664 10.389
Er -0.859 1.842 10.389
Er -1.346 5.256 8.748
Er 2.024 -0.177 10.389
Er 3.879 3.793 6.282
Er 5.224 -1.462 8.748
Tm 0.000 0.000 7.515
```

Properties
DOS at the Fermi energy ... 31.51 states/eV/cell
Symmetry ... R-3 (148)
Energy of formation from the pure elements ... 0.162 eV/atom
Polymorph energy (0 for the lowest one) ... 0 meV/atom


3.
PmCuAgHg: relaxed, PBE.

extended XYZ file:
```
4
Lattice="0.000 3.478 3.478 3.478 0.000 3.478 3.478 3.478 0.000" Properties=species:S:1:pos:R:3 pbc="T T T"
Pm 0.000 0.000 0.000
Cu 5.217 5.217 5.217
Ag 1.739 1.739 1.739
Hg 3.478 3.478 3.478
```

Properties
DOS at the Fermi energy ... 4.42 states/eV/cell
Symmetry ... F-43m (216)
Energy of formation from the pure elements ... -0.185 eV/atom


4.
NaLiGaPt: relaxed, PBE.

extended XYZ file:
```
4
Lattice="0.000 3.177 3.177 3.177 0.000 3.177 3.177 3.177 0.000" Properties=species:S:1:pos:R:3 pbc="T T T"
Na 0.000 0.000 0.000
Li 1.588 1.588 1.588
Ga 4.765 4.765 4.765
Pt 3.177 3.177 3.177
```

Properties
DOS at the Fermi energy ... 1.15 states/eV/cell
Symmetry ... F-43m (216)
Energy of formation from the pure elements ... -0.407 eV/atom


5.
GdPa2Fe: relaxed, PBE.

extended XYZ file:
```
4
Lattice="1.788 1.033 8.762 -1.788 1.033 8.762 0.000 -2.065 8.762" Properties=species:S:1:pos:R:3 pbc="T T T"
Gd 0.000 0.000 0.000
Pa 0.000 0.000 5.961
Pa 0.000 0.000 20.325
Fe 0.000 0.000 13.143
```

Properties
DOS at the Fermi energy ... 6.52 states/eV/cell
Symmetry ... R-3m (166)
Energy of formation from the pure elements ... 0.042 eV/atom


6.
La6CoOs2Br3: relaxed, PBE.

extended XYZ file:
```
12
Lattice="3.595 -6.227 0.000 3.595 6.227 0.000 -2.399 0.000 7.895" Properties=species:S:1:pos:R:3 pbc="T T T"
La 1.190 2.064 1.537
La -0.014 0.000 6.357
La 1.190 -2.064 1.537
La 3.601 2.064 6.359
La 4.806 0.000 1.538
La 3.601 -2.064 6.359
Co 0.000 0.000 0.000
Os 3.595 2.074 0.000
Os 3.595 -2.074 0.000
Br 2.396 4.136 3.948
Br 2.396 0.000 3.948
Br 2.396 -4.136 3.948
```

Properties
DOS at the Fermi energy ... 6.89 states/eV/cell
Symmetry ... C2/m (12)
Formation energy (no corrections) ... -825 meV/atom


7.
CsSr3Ac2Se6: relaxed, PBE.

extended XYZ file:
```
12
Lattice="9.848 -2.256 0.000 9.848 2.256 0.000 -2.021 0.000 9.011" Properties=species:S:1:pos:R:3 pbc="T T T"
Cs 0.000 0.000 0.000
Sr -1.010 0.000 4.506
Sr 6.335 0.000 1.496
Sr 11.341 0.000 7.515
Ac 5.233 0.000 6.005
Ac 12.443 0.000 3.006
Se 2.136 0.000 5.261
Se 3.318 0.000 0.866
Se 8.296 0.000 6.486
Se 9.380 0.000 2.525
Se 14.357 0.000 8.145
Se 15.540 0.000 3.750
```

Properties
DOS at the Fermi energy ... 3.09 states/eV/cell
Symmetry ... C2/m (12)
Formation energy (no corrections) ... -1866 meV/atom


8.
YHo2Ge: relaxed, PBE.

extended XYZ file:
```
4
Lattice="1.819 1.050 10.011 -1.819 1.050 10.011 0.000 -2.101 10.011" Properties=species:S:1:pos:R:3 pbc="T T T"
Y 0.000 0.000 0.000
Ho 0.000 0.000 7.031
Ho 0.000 0.000 23.004
Ge 0.000 0.000 15.017
```

Properties
DOS at the Fermi energy ... 6.22 states/eV/cell
Symmetry ... R-3m (166)
Energy of formation from the pure elements ... -0.221 eV/atom